Mn2AuBr: relaxed, GGA-PBE.

Calculated values
Offset from the most stable computed form (eV/f.u.): 0.126
Formation energy without anion corrections (eV per atom): 0.096
Symmetry: Cm
Energy (eV per atom): -5.726
DOS at the Fermi energy (states/eV/f.u.): 1.58

a = 7.179 Å, b = 7.179 Å, c = 3.375 Å
α = 103.47°, β = 103.47°, γ = 32.58°
Element x y z (fractional)
Mn 0.000 0.000 0.000
Mn 0.177 0.177 0.679
Au 0.631 0.631 0.133
Br 0.372 0.372 0.859

***

La2CoSb: relaxed, GGA-PBE.

Calculated values
Offset from the most stable computed form (eV/f.u.): 0.772
Formation energy without anion corrections (eV per atom): -0.356
Symmetry: Immm
Energy (eV per atom): -5.627
DOS at the Fermi energy (states/eV/f.u.): 3.88

a = 5.442 Å, b = 5.442 Å, c = 5.442 Å
α = 129.06°, β = 115.39°, γ = 86.62°
Element x y z (fractional)
La 0.219 0.219 0.000
La 0.781 0.781 0.000
Co 0.000 0.500 0.500
Sb 0.500 0.000 0.500

***

Q: Which value of formation energy without anion corrections does entry 2 give?
A: -0.356 eV per atom

***

Q: What is the formation energy without anion corrections in the first record?
A: 0.096 eV per atom

***

Q: Number 1 is which compound?
A: Mn2AuBr

***

Q: Which value of offset from the most stable computed form does entry 1 give?
A: 0.126 eV/f.u.